The following is a DFT calculation (PBE-GGA) of a relaxed Zr2InS2 crystal.

Properties
ΔE_f (raw)	-0.8625	eV/atom

Lattice parameters (Å, degrees): 7.661 7.661 3.295 90.00 90.00 90.00
Fractional positions:
S (0.136, 0.636, 0.500)
S (0.636, 0.864, 0.500)
S (0.864, 0.364, 0.500)
S (0.364, 0.136, 0.500)
Zr (0.351, 0.851, 0.000)
Zr (0.851, 0.649, 0.000)
Zr (0.649, 0.149, 0.000)
Zr (0.149, 0.351, 0.000)
In (0.000, 0.000, 0.000)
In (0.500, 0.500, 0.000)



The following is a DFT calculation (PBE-GGA) of a relaxed Nd4Se2N crystal.

Properties
ΔE_f (raw)	-1.1224	eV/atom

Lattice parameters (Å, degrees): 4.777 4.777 8.493 73.67 73.67 90.00
Fractional positions:
Nd (0.830, 0.830, 0.339)
Nd (0.170, 0.170, 0.661)
Nd (0.000, 0.500, 0.000)
Nd (0.500, 0.000, 0.000)
Se (0.636, 0.636, 0.728)
Se (0.364, 0.364, 0.272)
N (0.000, 0.000, 0.000)



The following is a DFT calculation (PBE-GGA) of a relaxed Pm2Dy3PuSe6 crystal.

Properties
ΔE_f (raw)	-1.7615	eV/atom

Lattice parameters (Å, degrees): 4.098 8.308 9.241 103.45 102.81 90.00
Fractional positions:
Pm (0.835, 0.669, 0.669)
Pm (0.165, 0.331, 0.331)
Dy (0.500, 0.500, 0.000)
Dy (0.833, 0.164, 0.666)
Dy (0.167, 0.836, 0.334)
Pu (0.500, 0.000, 0.000)
Se (0.332, 0.923, 0.664)
Se (0.665, 0.590, 0.329)
Se (0.668, 0.077, 0.336)
Se (0.997, 0.252, 0.994)
Se (0.003, 0.748, 0.006)
Se (0.335, 0.410, 0.671)



The following is a DFT calculation (PBE-GGA) of a relaxed Pm5Hg12Rh3 crystal.

Properties
E_form	0.203	eV/atom

Lattice parameters (Å, degrees): 14.651 14.651 14.651 109.47 109.47 109.47
Fractional positions:
Rh (0.750, 0.375, 0.125)
Rh (0.875, 0.750, 0.125)
Rh (0.375, 0.750, 0.625)
Rh (0.250, 0.125, 0.375)
Rh (0.875, 0.125, 0.250)
Rh (0.375, 0.625, 0.250)
Rh (0.625, 0.375, 0.750)
Rh (0.125, 0.875, 0.750)
Rh (0.750, 0.875, 0.625)
Rh (0.625, 0.250, 0.375)
Rh (0.125, 0.250, 0.875)
Rh (0.250, 0.625, 0.875)
Pm (0.125, 0.375, 0.250)
Pm (0.000, 0.500, 0.000)
Pm (0.000, 0.000, 0.000)
Pm (0.375, 0.250, 0.125)
Pm (0.500, 0.000, 0.500)
Pm (0.500, 0.500, 0.000)
Pm (0.125, 0.750, 0.375)
Pm (0.750, 0.125, 0.875)
Pm (0.750, 0.625, 0.375)
Pm (0.375, 0.125, 0.750)
Pm (0.625, 0.875, 0.250)
Pm (0.500, 0.500, 0.500)
Pm (0.500, 0.000, 0.000)
Pm (0.000, 0.000, 0.500)
Pm (0.250, 0.375, 0.625)
Pm (0.250, 0.875, 0.125)
Pm (0.000, 0.500, 0.500)
Pm (0.875, 0.250, 0.625)
Pm (0.625, 0.750, 0.875)
Pm (0.875, 0.625, 0.750)
Hg (0.744, 0.136, 0.080)
Hg (0.336, 0.580, 0.444)
Hg (0.920, 0.364, 0.256)
Hg (0.580, 0.244, 0.136)
Hg (0.609, 0.744, 0.664)
Hg (0.920, 0.556, 0.164)
Hg (0.336, 0.756, 0.391)
Hg (0.056, 0.891, 0.136)
Hg (0.556, 0.920, 0.664)
Hg (0.744, 0.609, 0.164)
Hg (0.756, 0.420, 0.364)
Hg (0.836, 0.944, 0.080)
Hg (0.136, 0.744, 0.580)
Hg (0.364, 0.444, 0.109)
Hg (0.109, 0.944, 0.364)
Hg (0.391, 0.136, 0.556)
Hg (0.109, 0.164, 0.244)
Hg (0.420, 0.664, 0.056)
Hg (0.836, 0.891, 0.256)
Hg (0.136, 0.391, 0.056)
Hg (0.364, 0.920, 0.756)
Hg (0.556, 0.636, 0.391)
Hg (0.944, 0.836, 0.580)
Hg (0.756, 0.336, 0.891)
Hg (0.444, 0.364, 0.609)
Hg (0.056, 0.164, 0.420)
Hg (0.244, 0.664, 0.109)
Hg (0.164, 0.109, 0.744)
Hg (0.636, 0.080, 0.244)
Hg (0.864, 0.609, 0.944)
Hg (0.580, 0.336, 0.944)
Hg (0.609, 0.864, 0.444)
Hg (0.891, 0.836, 0.756)
Hg (0.891, 0.056, 0.636)
Hg (0.864, 0.256, 0.420)
Hg (0.164, 0.056, 0.920)
Hg (0.636, 0.556, 0.891)
Hg (0.444, 0.080, 0.336)
Hg (0.256, 0.391, 0.836)
Hg (0.244, 0.580, 0.636)
Hg (0.944, 0.109, 0.864)
Hg (0.664, 0.244, 0.609)
Hg (0.420, 0.756, 0.864)
Hg (0.080, 0.444, 0.836)
Hg (0.391, 0.256, 0.336)
Hg (0.080, 0.636, 0.744)
Hg (0.664, 0.420, 0.556)
Hg (0.256, 0.864, 0.920)



The following is a DFT calculation (PBE-GGA) of a relaxed HgGeAu6 crystal.

Properties
E_form	0.057	eV/atom

Lattice parameters (Å, degrees): 4.966 5.234 5.770 90.00 90.00 90.00
Fractional positions:
Hg (0.000, 0.667, 0.000)
Ge (0.500, 0.337, 0.500)
Au (0.500, 0.834, 0.251)
Au (0.000, 0.167, 0.747)
Au (0.000, 0.167, 0.253)
Au (0.500, 0.834, 0.749)
Au (0.000, 0.666, 0.500)
Au (0.500, 0.326, 0.000)



The following is a DFT calculation (PBE-GGA) of a relaxed PmBi2Sb crystal.

Properties
ΔE_f (raw)	-0.4424	eV/atom
distance to the lowest polymorph of the same formula	0.0000	eV/atom

Lattice parameters (Å, degrees): 5.239 4.791 4.791 90.00 90.00 90.00
Fractional positions:
Sb (0.500, 0.500, 0.500)
Bi (0.000, 0.000, 0.500)
Bi (0.000, 0.500, 0.000)
Pm (0.500, 0.000, 0.000)



In the order shown, the computed density of states at the Fermi level values come out to 3.6, 7.4, 9.5, 17.8, 2.6, 2.2 states/eV/f.u..